--- 1 ---
{"formula": "MgGeBIr", "functional": "PBE", "state": "optimized geometry", "cell": [[0.0000, 3.0520, 3.0520], [3.0520, 0.0000, 3.0520], [3.0520, 3.0520, 0.0000]], "species": ["B", "Ge", "Ir", "Mg"], "frac_coords": [[0.5000, 0.5000, 0.5000], [0.2500, 0.2500, 0.2500], [0.0000, 0.0000, 0.0000], [0.7500, 0.7500, 0.7500]]}


--- 2 ---
{"formula": "MgGeBIr", "functional": "PBE", "state": "optimized geometry", "cell": [[-1.6285, -3.8853, 0.2425], [-3.5210, -0.9483, -2.1236], [0.1784, -2.5747, -3.3386]], "species": ["B", "Ge", "Ir", "Mg"], "frac_coords": [[0.0000, 0.0000, 0.0000], [0.5000, 0.5000, 0.5000], [0.2500, 0.2500, 0.2500], [0.7500, 0.7500, 0.7500]]}


Relative energies in kJ/mol of atoms: 1 25.7; 2 0.0


--- 1 ---
{"formula": "LiGeBPd", "functional": "PBE", "state": "optimized geometry", "cell": [[0.0000, 2.9030, 2.9030], [2.9030, 0.0000, 2.9030], [2.9030, 2.9030, 0.0000]], "species": ["B", "Ge", "Li", "Pd"], "frac_coords": [[0.2500, 0.2500, 0.2500], [0.0000, 0.0000, 0.0000], [0.7500, 0.7500, 0.7500], [0.5000, 0.5000, 0.5000]]}


--- 2 ---
{"formula": "LiGeBPd", "functional": "PBE", "state": "optimized geometry", "cell": [[0.0000, 2.9256, 2.9256], [2.9256, 0.0000, 2.9256], [2.9256, 2.9256, 0.0000]], "species": ["B", "Ge", "Li", "Pd"], "frac_coords": [[0.5000, 0.5000, 0.5000], [0.0000, 0.0000, 0.0000], [0.7500, 0.7500, 0.7500], [0.2500, 0.2500, 0.2500]]}


Relative energies in kJ/mol of atoms: 1 5.4; 2 0.0


--- 1 ---
{"formula": "LiGeBPt", "functional": "PBE", "state": "optimized geometry", "cell": [[0.0000, 2.9226, 2.9226], [2.9226, 0.0000, 2.9226], [2.9226, 2.9226, 0.0000]], "species": ["B", "Ge", "Li", "Pt"], "frac_coords": [[0.5000, 0.5000, 0.5000], [0.0000, 0.0000, 0.0000], [0.7500, 0.7500, 0.7500], [0.2500, 0.2500, 0.2500]]}


--- 2 ---
{"formula": "LiGeBPt", "functional": "PBE", "state": "optimized geometry", "cell": [[1.7392, -2.6421, 2.6476], [-1.7676, -3.6556, 0.7265], [1.7639, -3.4577, -1.3959]], "species": ["B", "Ge", "Li", "Pt"], "frac_coords": [[0.2500, 0.2500, 0.2500], [0.0000, 0.0000, 0.0000], [0.7500, 0.7500, 0.7500], [0.5000, 0.5000, 0.5000]]}


Relative energies in kJ/mol of atoms: 1 0.0; 2 17.0


--- 1 ---
{"formula": "LuGeB", "functional": "PBE", "state": "optimized geometry", "cell": [[0.0000, 3.0391, 3.0391], [3.0391, 0.0000, 3.0391], [3.0391, 3.0391, 0.0000]], "species": ["B", "Ge", "Lu"], "frac_coords": [[0.2500, 0.2500, 0.2500], [0.0000, 0.0000, 0.0000], [0.7500, 0.7500, 0.7500]]}


--- 2 ---
{"formula": "LuGeB", "functional": "PBE", "state": "optimized geometry", "cell": [[-2.7035, -2.8749, 1.1998], [-2.5089, 0.7320, 3.1911], [-4.0352, 0.5696, -0.6374]], "species": ["B", "Ge", "Lu"], "frac_coords": [[0.0000, 0.0000, 0.0000], [0.2500, 0.2500, 0.2500], [0.7500, 0.7500, 0.7500]]}


Relative energies in kJ/mol of atoms: 1 57.2; 2 0.0


--- 1 ---
{"formula": "GeB4Mo", "functional": "PBE", "state": "optimized geometry", "cell": [[3.0263, 0.0000, 0.0000], [-1.5132, 2.6209, 0.0000], [0.0000, 0.0000, 7.3886]], "species": ["B", "B", "B", "B", "Ge", "Mo"], "frac_coords": [[0.6667, 0.3333, 0.2252], [0.3333, 0.6667, 0.2252], [0.6667, 0.3333, 0.7748], [0.3333, 0.6667, 0.7748], [0.0000, 0.0000, 0.5000], [0.0000, 0.0000, 0.0000]]}


--- 2 ---
{"formula": "GeB4Mo", "functional": "PBE", "state": "optimized geometry", "cell": [[-1.4986, 2.6976, 3.4458], [1.4986, -2.6976, 3.4458], [1.4986, 2.6976, -3.4458]], "species": ["B", "B", "B", "B", "Ge", "Mo"], "frac_coords": [[0.5927, 0.2541, 0.3385], [0.0844, 0.7459, 0.3386], [0.9156, 0.2541, 0.6614], [0.4073, 0.7459, 0.6615], [0.0000, 0.0000, 0.0000], [0.5000, 0.5000, 0.0000]]}


Relative energies in kJ/mol of atoms: 1 0.0; 2 4.8


--- 1 ---
{"formula": "NbGeB4", "functional": "PBE", "state": "optimized geometry", "cell": [[-2.1135, 1.0110, 1.9845], [0.9523, -2.9163, 0.1247], [5.3106, 1.9339, 4.6706]], "species": ["B", "B", "B", "B", "Ge", "Nb"], "frac_coords": [[0.6667, 0.3333, 0.2325], [0.3333, 0.6667, 0.2325], [0.6667, 0.3333, 0.7675], [0.3333, 0.6667, 0.7675], [0.0000, 0.0000, 0.5000], [0.0000, 0.0000, 0.0000]]}


--- 2 ---
{"formula": "NbGeB4", "functional": "PBE", "state": "optimized geometry", "cell": [[-1.5068, 2.7057, 3.5648], [1.5068, -2.7057, 3.5648], [1.5068, 2.7057, -3.5648]], "species": ["B", "B", "B", "B", "Ge", "Nb"], "frac_coords": [[0.5917, 0.2545, 0.3372], [0.0827, 0.7455, 0.3372], [0.9173, 0.2545, 0.6628], [0.4083, 0.7455, 0.6628], [0.0000, 0.0000, 0.0000], [0.5000, 0.5000, 0.0000]]}


Relative energies in kJ/mol of atoms: 1 0.0; 2 8.2


--- 1 ---
{"formula": "GeB4Os", "functional": "PBE", "state": "optimized geometry", "cell": [[3.1308, 0.0145, 3.3601], [2.5255, 3.4286, -1.7201], [-4.1219, -0.8601, 1.8337]], "species": ["B", "B", "B", "B", "Ge", "Os"], "frac_coords": [[0.5833, 0.2466, 0.3366], [0.0900, 0.7534, 0.3366], [0.9100, 0.2466, 0.6634], [0.4167, 0.7534, 0.6634], [0.5000, 0.5000, 0.0000], [0.0000, 0.0000, 0.0000]]}


--- 2 ---
{"formula": "GeB4Os", "functional": "PBE", "state": "optimized geometry", "cell": [[-1.2602, 1.3830, 2.4144], [-0.6398, -2.9282, -0.5888], [5.4424, -1.9896, 3.9803]], "species": ["B", "B", "B", "B", "Ge", "Os"], "frac_coords": [[0.6667, 0.3333, 0.2360], [0.3333, 0.6667, 0.2360], [0.6667, 0.3333, 0.7640], [0.3333, 0.6667, 0.7640], [0.0000, 0.0000, 0.5000], [0.0000, 0.0000, 0.0000]]}


Relative energies in kJ/mol of atoms: 1 0.0; 2 1.1


--- 1 ---
{"formula": "PmGeB", "functional": "PBE", "state": "optimized geometry", "cell": [[0.0000, 3.0499, 3.0499], [3.0499, 0.0000, 3.0499], [3.0499, 3.0499, 0.0000]], "species": ["B", "Ge", "Pm"], "frac_coords": [[0.0000, 0.0000, 0.0000], [0.2500, 0.2500, 0.2500], [0.7500, 0.7500, 0.7500]]}


--- 2 ---
{"formula": "PmGeB", "functional": "PBE", "state": "optimized geometry", "cell": [[-0.5193, -4.5667, -0.0086], [-3.4279, -1.9275, 2.3787], [-3.5475, -1.9053, -2.2158]], "species": ["B", "Ge", "Pm"], "frac_coords": [[0.2500, 0.2500, 0.2500], [0.7500, 0.7500, 0.7500], [0.0000, 0.0000, 0.0000]]}


Relative energies in kJ/mol of atoms: 1 0.0; 2 58.6